{"formula": "KBa2Rh", "functional": "SCAN", "state": "single point on PBEsol structure", "e_above_lowest_polymorph_mev_per_atom": 71, "lattice_angstrom": [[-2.6653, 1.5727, 2.2670], [-2.7050, -2.1112, -1.7156], [1.6033, -8.1757, 7.5566]], "species": ["K", "Rh", "Ba", "Ba"], "fractional_positions": [[0.5000, 0.5000, 0.0000], [0.5000, 0.5000, 0.5000], [0.0000, 0.0003, 0.3447], [0.0000, 0.9997, 0.6553]]}



{"formula": "NbRu3", "functional": "SCAN", "state": "single point on PBEsol structure", "lattice_angstrom": [[-0.3112, 4.2134, -1.0236], [-4.2309, 0.5370, 3.4968], [5.1601, 0.8111, 1.7697]], "species": ["Ru", "Ru", "Ru", "Ru", "Ru", "Ru", "Nb", "Nb"], "fractional_positions": [[0.2500, 0.1651, 0.8349], [0.2500, 0.1651, 0.3301], [0.2500, 0.6699, 0.8349], [0.7500, 0.8349, 0.1651], [0.7500, 0.8349, 0.6699], [0.7500, 0.3301, 0.1651], [0.7500, 0.3333, 0.6667], [0.2500, 0.6667, 0.3333]]}



{"formula": "LiY2", "functional": "SCAN", "state": "single point on PBEsol structure", "e_above_lowest_polymorph_mev_per_atom": 0, "lattice_angstrom": [[-3.4419, -0.3830, -0.9916], [0.5304, -3.5310, -0.4774], [-0.1343, 0.9177, 6.6550]], "species": ["Y", "Y", "Li"], "fractional_positions": [[0.1539, 0.1539, 0.3077], [0.8461, 0.8461, 0.6923], [0.5000, 0.5000, 0.0000]]}



{"formula": "Zn7Cr", "functional": "SCAN", "state": "single point on PBEsol structure", "lattice_angstrom": [[5.3351, 0.0000, 0.0000], [2.6675, 4.6203, 0.0000], [2.6675, 1.5401, 4.3561]], "species": ["Cr", "Zn", "Zn", "Zn", "Zn", "Zn", "Zn", "Zn"], "fractional_positions": [[0.0000, 0.0000, 0.0000], [0.5000, 0.0000, 0.5000], [0.5000, 0.0000, 0.0000], [0.0000, 0.0000, 0.5000], [0.5000, 0.5000, 0.0000], [0.0000, 0.5000, 0.5000], [0.0000, 0.5000, 0.0000], [0.5000, 0.5000, 0.5000]]}



{"formula": "TaSbP2", "functional": "SCAN", "state": "single point on PBEsol structure", "lattice_angstrom": [[3.1942, 0.0000, 0.0000], [0.0000, 4.5343, 0.0000], [0.0000, 0.0000, 4.6289]], "species": ["P", "P", "Sb", "Ta"], "fractional_positions": [[0.0000, 0.0000, 0.0000], [0.0000, 0.5000, 0.5000], [0.5000, 0.5000, 0.0000], [0.5000, 0.0000, 0.5000]]}



{"formula": "CaMg2Zn9", "functional": "SCAN", "state": "single point on PBEsol structure", "lattice_angstrom": [[-4.4838, -0.5497, 2.5886], [-3.1721, -3.9784, -1.1034], [1.3185, -6.1796, 6.2074]], "species": ["Ca", "Mg", "Mg", "Zn", "Zn", "Zn", "Zn", "Zn", "Zn", "Zn", "Zn", "Zn"], "fractional_positions": [[0.0000, 0.0000, 0.0000], [0.1419, 0.1419, 0.5744], [0.8581, 0.8581, 0.4256], [0.3335, 0.3335, 0.9996], [0.6665, 0.6665, 0.0004], [0.5000, 0.5000, 0.5000], [0.5871, 0.5871, 0.7452], [0.5871, 0.0805, 0.7452], [0.0805, 0.5871, 0.7452], [0.4129, 0.4129, 0.2548], [0.9195, 0.4129, 0.2548], [0.4129, 0.9195, 0.2548]]}



{"formula": "PmTm3", "functional": "SCAN", "state": "single point on PBEsol structure", "e_above_lowest_polymorph_mev_per_atom": 18, "lattice_angstrom": [[4.8872, 0.0000, 0.0000], [0.0000, 4.8872, 0.0000], [0.0000, 0.0000, 4.8872]], "species": ["Tm", "Tm", "Tm", "Pm"], "fractional_positions": [[0.5000, 0.0000, 0.5000], [0.0000, 0.5000, 0.5000], [0.5000, 0.5000, 0.0000], [0.0000, 0.0000, 0.0000]]}



{"formula": "TcW", "functional": "SCAN", "state": "single point on PBEsol structure", "e_above_lowest_polymorph_mev_per_atom": 38, "lattice_angstrom": [[2.7151, 0.0000, 0.0002], [0.0000, 4.3698, 0.0000], [-0.9925, 0.0000, 5.0359]], "species": ["Tc", "Tc", "W", "W"], "fractional_positions": [[0.6565, 0.7500, 0.8681], [0.3435, 0.2500, 0.1318], [0.8859, 0.2500, 0.6320], [0.1141, 0.7500, 0.3680]]}



{"formula": "Na2Zn2Hg", "functional": "SCAN", "state": "single point on PBEsol structure", "lattice_angstrom": [[-0.5243, 4.6629, 0.4860], [-3.8779, 0.1520, -5.6406], [-5.5911, -1.0264, 3.8162]], "species": ["Na", "Na", "Na", "Na", "Zn", "Zn", "Zn", "Zn", "Hg", "Hg"], "fractional_positions": [[0.5000, 0.1768, 0.6768], [0.5000, 0.6768, 0.8232], [0.5000, 0.8232, 0.3232], [0.5000, 0.3232, 0.1768], [0.0000, 0.3717, 0.8717], [0.0000, 0.8717, 0.6283], [0.0000, 0.6283, 0.1283], [0.0000, 0.1283, 0.3717], [0.0000, 0.0000, 0.0000], [0.0000, 0.5000, 0.5000]]}



{"formula": "MnSi2As", "functional": "SCAN", "state": "single point on PBEsol structure", "lattice_angstrom": [[-2.6095, 0.4354, -2.5112], [1.6673, -2.6133, -1.9225], [-2.0752, -2.0781, 4.3137]], "species": ["As", "Mn", "Si", "Si"], "fractional_positions": [[0.5000, 0.5000, 0.0000], [0.0000, 0.0000, 0.0000], [0.5000, 0.0000, 0.5000], [0.0000, 0.5000, 0.5000]]}



{"formula": "CrCoNi2", "functional": "SCAN", "state": "single point on PBEsol structure", "lattice_angstrom": [[-2.8363, -0.9909, 1.6317], [1.5793, -2.8596, 1.0085], [1.7470, 3.5840, 1.6314]], "species": ["Ni", "Ni", "Co", "Cr"], "fractional_positions": [[0.7500, 0.2500, 0.5000], [0.2500, 0.7500, 0.5000], [0.5000, 0.5000, 0.0000], [0.0000, 0.0000, 0.0000]]}



{"formula": "ZnRe2Hg", "functional": "SCAN", "state": "single point on PBEsol structure", "e_above_lowest_polymorph_mev_per_atom": 0, "lattice_angstrom": [[2.8230, 0.0000, 0.0000], [0.0000, 4.7708, -0.0237], [-1.4115, -0.8947, 4.6177]], "species": ["Hg", "Re", "Re", "Zn"], "fractional_positions": [[0.0000, 0.5000, 0.0000], [0.2445, 0.2346, 0.4889], [0.7555, 0.7654, 0.5111], [0.5000, 0.0000, 0.0000]]}



{"formula": "Be2AuSe", "functional": "SCAN", "state": "single point on PBEsol structure", "lattice_angstrom": [[3.1517, 0.0000, 0.0000], [0.0000, 4.1807, 0.0000], [0.0000, 0.0000, 4.1807]], "species": ["Be", "Be", "Au", "Se"], "fractional_positions": [[0.0000, 0.0000, 0.5000], [0.0000, 0.5000, 0.0000], [0.5000, 0.0000, 0.0000], [0.5000, 0.5000, 0.5000]]}



{"formula": "Be2TcF", "functional": "SCAN", "state": "single point on PBEsol structure", "lattice_angstrom": [[-0.8525, -3.8427, -0.4413], [-0.6999, -2.2515, 3.1826], [-3.6651, -1.3121, 0.7304]], "species": ["Be", "Be", "Tc", "F"], "fractional_positions": [[0.2500, 0.2500, 0.2500], [0.7500, 0.7500, 0.7500], [0.5000, 0.5000, 0.5000], [0.0000, 0.0000, 0.0000]]}



{"formula": "Cu7Pt4", "functional": "SCAN", "state": "single point on PBEsol structure", "lattice_angstrom": [[-4.2122, -1.2974, 0.9194], [2.2874, -3.4638, 1.9330], [-0.0028, 4.1157, 5.6450]], "species": ["Cu", "Cu", "Cu", "Cu", "Cu", "Cu", "Cu", "Pt", "Pt", "Pt", "Pt"], "fractional_positions": [[0.5480, 0.7675, 0.5886], [0.0000, 0.5000, 0.5000], [0.4520, 0.2325, 0.4114], [0.3578, 0.6817, 0.2305], [0.2719, 0.1335, 0.0468], [0.7281, 0.8665, 0.9532], [0.6422, 0.3183, 0.7695], [0.9038, 0.9551, 0.3189], [0.8040, 0.4066, 0.1360], [0.1960, 0.5934, 0.8640], [0.0962, 0.0449, 0.6811]]}



{"formula": "Pm2TlHg", "functional": "SCAN", "state": "single point on PBEsol structure", "lattice_angstrom": [[5.3432, 0.0000, 0.0000], [2.6716, 4.6273, 0.0000], [2.6716, 1.5424, 4.3627]], "species": ["Tl", "Hg", "Pm", "Pm"], "fractional_positions": [[0.0000, 0.0000, 0.0000], [0.5000, 0.5000, 0.5000], [0.2500, 0.2500, 0.2500], [0.7500, 0.7500, 0.7500]]}



{"formula": "ThMgRh2", "functional": "SCAN", "state": "single point on PBEsol structure", "lattice_angstrom": [[4.7318, 0.0000, 0.0000], [2.3659, 4.0978, 0.0000], [2.3659, 1.3659, 3.8635]], "species": ["Mg", "Rh", "Rh", "Th"], "fractional_positions": [[0.5000, 0.5000, 0.5000], [0.2500, 0.2500, 0.2500], [0.7500, 0.7500, 0.7500], [0.0000, 0.0000, 0.0000]]}



{"formula": "AgAs2Pt", "functional": "SCAN", "state": "single point on PBEsol structure", "e_above_lowest_polymorph_mev_per_atom": 115, "lattice_angstrom": [[2.8878, 0.0000, 0.0000], [0.0000, 4.7318, 0.0000], [-1.4439, -2.3659, 5.3304]], "species": ["As", "As", "Pt", "Ag"], "fractional_positions": [[0.8022, 0.8022, 0.6044], [0.1978, 0.1978, 0.3956], [0.5000, 0.0000, 0.0000], [0.0000, 0.5000, 0.0000]]}



{"formula": "Fe2CuTcAu", "functional": "SCAN", "state": "single point on PBEsol structure", "lattice_angstrom": [[4.2696, 0.0000, 0.0000], [0.0000, 4.2696, 0.0000], [0.0000, 0.0000, 4.5870]], "species": ["Au", "Tc", "Cu", "Fe", "Fe"], "fractional_positions": [[0.5000, 0.5000, 0.5000], [0.0000, 0.0000, 0.0000], [0.0000, 0.0000, 0.5000], [0.0000, 0.5000, 0.0000], [0.5000, 0.0000, 0.0000]]}



{"formula": "K2AuCl", "functional": "SCAN", "state": "single point on PBEsol structure", "e_above_lowest_polymorph_mev_per_atom": 14, "lattice_angstrom": [[4.5348, 0.0000, 0.0000], [0.0000, 4.5373, 0.0000], [0.0000, 0.0000, 6.4280]], "species": ["K", "K", "Au", "Cl"], "fractional_positions": [[0.8748, 0.5000, 0.0000], [0.3753, 0.0000, 0.5000], [0.3748, 0.0000, 0.0000], [0.8752, 0.5000, 0.5000]]}



| no. | DOS at the Fermi energy (states/eV/f.u.) | energy (eV per atom) | calculated volume (Å³ per cell) |
| --- | --- | --- | --- |
| 1 | 3.0 | -30.329 | 165.5 |
| 2 | 5.3 | -34.525 | 114.5 |
| 3 | 3.3 | -19.286 | 80.7 |
| 4 | 3.5 | -14.099 | 107.4 |
| 5 | 2.9 | -30.690 | 67.0 |
| 6 | 3.1 | -12.033 | 195.6 |
| 7 | 5.1 | -49.842 | 116.7 |
| 8 | 1.8 | -52.315 | 59.7 |
| 9 | 2.2 | -20.797 | 221.1 |
| 10 | 1.3 | -14.522 | 60.8 |
| 11 | 2.1 | -16.961 | 41.7 |
| 12 | 2.5 | -55.389 | 62.1 |
| 13 | 1.1 | -24.224 | 55.1 |
| 14 | 1.1 | -11.413 | 43.9 |
| 15 | 5.7 | -35.330 | 141.3 |
| 16 | 2.3 | -57.785 | 107.9 |
| 17 | 1.8 | -42.854 | 74.9 |
| 18 | 1.5 | -35.500 | 72.8 |
| 19 | 4.6 | -29.659 | 83.6 |
| 20 | 0.0 | -24.683 | 132.3 |